DFT (PBE+U) results for a relaxed structure of NiSe3O.

Output
Crystal system: cubic
Total magnetic moment, μB/atom: 0.486
Energy above the most stable polymorph in this dataset, kJ/mol of atoms: 4.2

Cell: 4.631 4.631 4.631 Å, 90.00 90.00 90.00°
Space group Pm-3m (No. 221)
Asymmetric unit:
1 Ni 0.000 0.000 0.000 (multiplicity 1)
2 Se 0.000 0.000 0.500 (multiplicity 3)
3 O 0.500 0.500 0.500 (multiplicity 1)